No. 1
DFT (GGA-PBE) results for AlAgP2Cl after structural relaxation.

```
data_AlAgP2Cl
_symmetry_space_group_name_H-M 'P 1'
_symmetry_Int_Tables_number 1
_symmetry_space_group_name_Hall 'P 1'
_cell_length_a 4.757
_cell_length_b 4.757
_cell_length_c 5.658
_cell_angle_alpha 90.00
_cell_angle_beta 90.00
_cell_angle_gamma 90.00
loop_
_atom_site_label
_atom_site_fract_x
_atom_site_fract_y
_atom_site_fract_z
_atom_site_occupancy
Al1 0.000 0.000 0.000 1
Ag1 0.500 0.500 0.500 1
P1 0.000 0.500 0.500 1
P2 0.500 0.000 0.500 1
Cl1 0.500 0.500 0.000 1
```

Calculated values
- energy relative to the lowest polymorph listed for this composition (meV per atom) = 446.0
- uncorrected energy (eV/atom) = -3.01
- spin magnetization (Bohr magnetons per cell) = 2.08
- space group = P4/mmm, No. 123

=====

No. 2
DFT (GGA-PBE) results for Ba2Be2TlO6 after structural relaxation.

```
data_Ba2Be2TlO6
_symmetry_space_group_name_H-M 'P 1'
_symmetry_Int_Tables_number 1
_symmetry_space_group_name_Hall 'P 1'
_cell_length_a 6.651
_cell_length_b 6.651
_cell_length_c 6.651
_cell_angle_alpha 50.55
_cell_angle_beta 50.55
_cell_angle_gamma 50.55
loop_
_atom_site_label
_atom_site_fract_x
_atom_site_fract_y
_atom_site_fract_z
_atom_site_occupancy
Ba1 0.218 0.218 0.218 1
Ba2 0.782 0.782 0.782 1
Be1 0.416 0.416 0.416 1
Be2 0.584 0.584 0.584 1
Tl1 0.000 0.000 0.000 1
O1 0.261 0.261 0.733 1
O2 0.261 0.733 0.261 1
O3 0.267 0.739 0.739 1
O4 0.733 0.261 0.261 1
O5 0.739 0.267 0.739 1
O6 0.739 0.739 0.267 1
```

Calculated values
- uncorrected energy (eV/atom) = -5.95
- spin magnetization (Bohr magnetons per cell) = 1.00
- space group = R-3m, No. 166

=====

No. 3
DFT (GGA-PBE) results for Zr2CdRu after structural relaxation.

```
data_Zr2CdRu
_symmetry_space_group_name_H-M 'P 1'
_symmetry_Int_Tables_number 1
_symmetry_space_group_name_Hall 'P 1'
_cell_length_a 3.036
_cell_length_b 3.036
_cell_length_c 9.289
_cell_angle_alpha 90.00
_cell_angle_beta 90.00
_cell_angle_gamma 108.89
loop_
_atom_site_label
_atom_site_fract_x
_atom_site_fract_y
_atom_site_fract_z
_atom_site_occupancy
Zr1 0.000 0.000 0.000 1
Zr2 0.500 0.500 0.283 1
Cd1 0.000 0.000 0.560 1
Ru1 0.500 0.500 0.798 1
```

Calculated values
- uncorrected energy (eV/atom) = -6.79
- spin magnetization (Bohr magnetons per cell) = 0.00
- ΔH_f (0 K) (eV/atom) = 0.03
- space group = Cmm2, No. 35

=====

No. 4
DFT (GGA-PBE) results for Hg2IrPb2O6 after structural relaxation.

```
data_Hg2IrPb2O6
_symmetry_space_group_name_H-M 'P 1'
_symmetry_Int_Tables_number 1
_symmetry_space_group_name_Hall 'P 1'
_cell_length_a 5.849
_cell_length_b 5.849
_cell_length_c 8.028
_cell_angle_alpha 98.47
_cell_angle_beta 98.47
_cell_angle_gamma 120.52
loop_
_atom_site_label
_atom_site_fract_x
_atom_site_fract_y
_atom_site_fract_z
_atom_site_occupancy
Hg1 0.245 0.755 0.000 1
Hg2 0.755 0.245 0.000 1
Ir1 0.000 0.000 0.500 1
Pb1 0.334 0.666 0.500 1
Pb2 0.666 0.334 0.500 1
O1 0.056 0.768 0.636 1
O2 0.232 0.944 0.364 1
O3 0.346 0.346 0.637 1
O4 0.654 0.654 0.363 1
O5 0.768 0.056 0.636 1
O6 0.944 0.232 0.364 1
```

Calculated values
- uncorrected energy (eV/atom) = -4.94
- spin magnetization (Bohr magnetons per cell) = 0.34
- space group = C2/m, No. 12

=====

No. 5
DFT (GGA-PBE) results for BaTl2Hg after structural relaxation.

```
data_BaTl2Hg
_symmetry_space_group_name_H-M 'P 1'
_symmetry_Int_Tables_number 1
_symmetry_space_group_name_Hall 'P 1'
_cell_length_a 12.267
_cell_length_b 12.267
_cell_length_c 12.267
_cell_angle_alpha 156.55
_cell_angle_beta 156.55
_cell_angle_gamma 33.41
loop_
_atom_site_label
_atom_site_fract_x
_atom_site_fract_y
_atom_site_fract_z
_atom_site_occupancy
Ba1 0.000 0.000 0.000 1
Ba2 0.750 0.250 0.500 1
Tl1 0.177 0.625 0.052 1
Tl2 0.375 0.427 0.552 1
Tl3 0.573 0.125 0.948 1
Tl4 0.875 0.823 0.448 1
Hg1 0.250 0.750 0.500 1
Hg2 0.500 0.500 0.000 1
```

Calculated values
- energy relative to the lowest polymorph listed for this composition (meV per atom) = 135.1
- uncorrected energy (eV/atom) = -1.94
- spin magnetization (Bohr magnetons per cell) = 0.00
- ΔH_f (0 K) (eV/atom) = -0.20
- space group = I-42d, No. 122

=====

No. 6
DFT (GGA-PBE) results for KMg2Cr after structural relaxation.

```
data_KMg2Cr
_symmetry_space_group_name_H-M 'P 1'
_symmetry_Int_Tables_number 1
_symmetry_space_group_name_Hall 'P 1'
_cell_length_a 4.984
_cell_length_b 4.984
_cell_length_c 4.597
_cell_angle_alpha 90.00
_cell_angle_beta 90.00
_cell_angle_gamma 90.00
loop_
_atom_site_label
_atom_site_fract_x
_atom_site_fract_y
_atom_site_fract_z
_atom_site_occupancy
K1 0.000 0.000 0.000 1
Mg1 0.000 0.500 0.500 1
Mg2 0.500 0.000 0.500 1
Cr1 0.500 0.500 0.000 1
```

Calculated values
- energy relative to the lowest polymorph listed for this composition (meV per atom) = 240.6
- uncorrected energy (eV/atom) = -2.78
- spin magnetization (Bohr magnetons per cell) = 4.76
- ΔH_f (0 K) (eV/atom) = 0.70
- space group = P4/mmm, No. 123

=====

No. 7
DFT (GGA-PBE) results for Sm2Y4Sb3H2 after structural relaxation.

```
data_Sm2Y4Sb3H2
_symmetry_space_group_name_H-M 'P 1'
_symmetry_Int_Tables_number 1
_symmetry_space_group_name_Hall 'P 1'
_cell_length_a 12.765
_cell_length_b 12.765
_cell_length_c 12.765
_cell_angle_alpha 158.83
_cell_angle_beta 158.83
_cell_angle_gamma 30.12
loop_
_atom_site_label
_atom_site_fract_x
_atom_site_fract_y
_atom_site_fract_z
_atom_site_occupancy
Sm1 0.198 0.198 0.000 1
Sm2 0.802 0.802 0.000 1
Y1 0.082 0.582 0.500 1
Y2 0.418 0.918 0.500 1
Y3 0.582 0.082 0.500 1
Y4 0.918 0.418 0.500 1
Sb1 0.327 0.327 0.000 1
Sb2 0.500 0.500 0.000 1
Sb3 0.673 0.673 0.000 1
H1 0.100 0.100 0.000 1
H2 0.900 0.900 0.000 1
```

Calculated values
- uncorrected energy (eV/atom) = -5.70
- spin magnetization (Bohr magnetons per cell) = 0.00
- space group = I4/mmm, No. 139

=====

No. 8
DFT (GGA-PBE) results for PmTeSe after structural relaxation.

```
data_PmTeSe
_symmetry_space_group_name_H-M 'P 1'
_symmetry_Int_Tables_number 1
_symmetry_space_group_name_Hall 'P 1'
_cell_length_a 4.208
_cell_length_b 4.208
_cell_length_c 6.847
_cell_angle_alpha 90.00
_cell_angle_beta 90.00
_cell_angle_gamma 120.00
loop_
_atom_site_label
_atom_site_fract_x
_atom_site_fract_y
_atom_site_fract_z
_atom_site_occupancy
Pm1 0.000 0.000 0.000 1
Te1 0.333 0.667 0.687 1
Se1 0.667 0.333 0.220 1
```

Calculated values
- energy relative to the lowest polymorph listed for this composition (meV per atom) = 328.5
- uncorrected energy (eV/atom) = -4.92
- spin magnetization (Bohr magnetons per cell) = 0.00
- space group = P3m1, No. 156

=====

Which value of spin magnetization does entry 5 give? 0.00 Bohr magnetons per cell

=====

Which value of uncorrected energy does entry 8 give? -4.92 eV/atom